Entry 1:
BaAg3Bi: relaxed, PBE.

a b c (Å): 5.5567 5.5567 5.5567
angles (deg): 90.00 90.00 90.00
Closest atoms and distances in Å follow each position.
Element x y z (fractional)
Ba: 0.0000 0.0000 0.0000  12 Ag 3.93
Ag: 0.0000 0.5000 0.5000  2 Bi 2.78
Ag: 0.5000 0.0000 0.5000  2 Bi 2.78
Ag: 0.5000 0.5000 0.0000  2 Bi 2.78
Bi: 0.5000 0.5000 0.5000  6 Ag 2.78

Properties
Polymorph energy (0 for the lowest one) in eV per atom: 0.0000
M_tot in Bohr magnetons per cell: 0.00
Energy in eV/atom: -2.786
ΔE_f in eV per atom: 0.09
Space-group type: No. 221

=====

Entry 2:
CdSiSe3: relaxed, PBE.

a b c (Å): 7.2823 7.2823 7.2823
angles (deg): 53.40 53.40 53.40
Closest atoms and distances in Å follow each position.
Element x y z (fractional)
Cd: 0.1229 0.1229 0.1229  3 Se 2.67
Cd: 0.8771 0.8771 0.8771  3 Se 2.67
Si: 0.3364 0.3364 0.3364  6 Se 2.48-2.51
Si: 0.6636 0.6636 0.6636  6 Se 2.48-2.51
Se: 0.0667 0.4709 0.6959  2 Si 2.48-2.51, 1 Cd 2.67
Se: 0.3041 0.9333 0.5291  2 Si 2.48-2.51, 1 Cd 2.67
Se: 0.4709 0.6959 0.0667  2 Si 2.48-2.51, 1 Cd 2.67
Se: 0.5291 0.3041 0.9333  2 Si 2.48-2.51, 1 Cd 2.67
Se: 0.6959 0.0667 0.4709  2 Si 2.48-2.51, 1 Cd 2.67
Se: 0.9333 0.5291 0.3041  2 Si 2.48-2.51, 1 Cd 2.67

Properties
Polymorph energy (0 for the lowest one) in eV per atom: 0.0337
M_tot in Bohr magnetons per cell: 0.00
Formation energy from raw total energies in eV per atom: -0.327
Energy in eV/atom: -3.685
Space-group type: No. 148

=====

Entry 3:
Cs3SmAg2Cl9: relaxed, PBE.

a b c (Å): 7.5945 7.5945 9.4054
angles (deg): 90.00 90.00 120.00
Closest atoms and distances in Å follow each position.
Element x y z (fractional)
Cs: 0.0000 0.0000 0.0000  12 Cl 3.80-3.84
Cs: 0.3333 0.6667 0.6841  12 Cl 3.69-3.95
Cs: 0.6667 0.3333 0.3159  12 Cl 3.69-3.95
Sm: 0.0000 0.0000 0.5000  6 Cl 2.70
Ag: 0.3333 0.6667 0.1509  6 Cl 2.61-2.78
Ag: 0.6667 0.3333 0.8491  6 Cl 2.61-2.78
Cl: 0.0000 0.5000 0.0000  2 Ag 2.61
Cl: 0.1674 0.3348 0.3342  1 Sm 2.70, 1 Ag 2.78
Cl: 0.1674 0.8326 0.3342  1 Sm 2.70, 1 Ag 2.78
Cl: 0.3348 0.1674 0.6658  1 Sm 2.70, 1 Ag 2.78
Cl: 0.5000 0.0000 0.0000  2 Ag 2.61
Cl: 0.5000 0.5000 0.0000  2 Ag 2.61
Cl: 0.6652 0.8326 0.3342  1 Sm 2.70, 1 Ag 2.78
Cl: 0.8326 0.1674 0.6658  1 Sm 2.70, 1 Ag 2.78
Cl: 0.8326 0.6652 0.6658  1 Sm 2.70, 1 Ag 2.78

Properties
M_tot in Bohr magnetons per cell: 0.34
Formation energy from raw total energies in eV per atom: -1.577
Energy in eV/atom: -3.550
Space-group type: No. 164

=====

Entry 4:
RbLiTa3: relaxed, PBE.

a b c (Å): 4.7479 4.7479 4.7479
angles (deg): 90.00 90.00 90.00
Closest atoms and distances in Å follow each position.
Element x y z (fractional)
Rb: 0.0000 0.0000 0.0000  12 Ta 3.36
Li: 0.5000 0.5000 0.5000  6 Ta 2.37
Ta: 0.0000 0.5000 0.5000  2 Li 2.37
Ta: 0.5000 0.0000 0.5000  2 Li 2.37
Ta: 0.5000 0.5000 0.0000  2 Li 2.37

Properties
Polymorph energy (0 for the lowest one) in eV per atom: 0.0000
M_tot in Bohr magnetons per cell: 0.00
Energy in eV/atom: -5.634
ΔE_f in eV per atom: 2.05
Space-group type: No. 221